Density functional theory data (PBE) for InMo4P after structural relaxation.

Summary:
**Energy relative to the elements**: 55.2 kJ/mol of atoms
**Electronic total energy**: -48.040 eV per cell
**Total moment**: 0.00 Bohr magnetons per cell

Structure (POSCAR):
```
InMo4P
1.0
0.000 3.743 3.743
3.743 0.000 3.743
3.743 3.743 0.000
P Mo In
1 4 1
direct
0.750 0.750 0.750
0.375 0.375 0.875
0.875 0.375 0.375
0.375 0.875 0.375
0.375 0.375 0.375
0.000 0.000 0.000
```

---

Density functional theory data (PBE) for VSN3 after structural relaxation.

Summary:
**Electronic total energy**: -31.580 eV per cell
**Uncorrected formation energy**: 6.64 eV/f.u.
**Total moment**: 1.30 Bohr magnetons per cell

Structure (POSCAR):
```
VSN3
1.0
3.518 0.000 0.000
0.000 3.518 0.000
0.000 0.000 3.518
S N V
1 3 1
direct
0.000 0.000 0.000
0.000 0.000 0.500
0.500 0.000 0.000
0.000 0.500 0.000
0.500 0.500 0.500
```

---

Density functional theory data (PBE) for Np3Ge5Te12 after structural relaxation.

Summary:
**Electronic total energy**: -417.359 eV per cell
**Uncorrected formation energy**: -4.73 eV/f.u.
**Total moment**: 45.04 Bohr magnetons per cell

Structure (POSCAR):
```
Np3Ge5Te12
1.0
15.064 0.000 0.000
-5.021 14.202 0.000
-5.021 -7.101 12.299
Te Ge Np
48 20 12
direct
0.044 0.412 0.826
0.085 0.174 0.218
0.718 0.585 0.174
0.585 0.718 0.674
0.415 0.282 0.326
0.174 0.088 0.956
0.218 0.544 0.632
0.282 0.415 0.826
0.544 0.218 0.132
0.368 0.956 0.782
0.132 0.718 0.544
0.718 0.132 0.044
0.826 0.915 0.282
0.088 0.915 0.132
0.415 0.132 0.588
0.544 0.326 0.912
0.218 0.674 0.085
0.915 0.826 0.782
0.868 0.585 0.912
0.456 0.782 0.868
0.088 0.174 0.456
0.585 0.868 0.412
0.412 0.044 0.326
0.956 0.588 0.174
0.632 0.588 0.915
0.826 0.912 0.044
0.588 0.632 0.415
0.326 0.782 0.415
0.368 0.412 0.085
0.912 0.826 0.544
0.782 0.456 0.368
0.956 0.368 0.282
0.912 0.085 0.868
0.044 0.632 0.718
0.588 0.956 0.674
0.782 0.326 0.915
0.326 0.544 0.412
0.412 0.368 0.585
0.456 0.674 0.088
0.085 0.912 0.368
0.282 0.868 0.956
0.674 0.456 0.588
0.174 0.085 0.718
0.632 0.044 0.218
0.674 0.218 0.585
0.868 0.282 0.456
0.915 0.088 0.632
0.132 0.415 0.088
0.750 0.125 0.875
0.000 0.000 0.000
0.500 0.000 0.500
0.375 0.125 0.750
0.000 0.500 0.500
0.625 0.750 0.875
0.500 0.500 0.000
0.000 0.000 0.500
0.250 0.375 0.625
0.125 0.750 0.375
0.875 0.250 0.625
0.125 0.375 0.250
0.000 0.500 0.000
0.625 0.875 0.250
0.250 0.875 0.125
0.375 0.250 0.125
0.750 0.625 0.375
0.500 0.500 0.500
0.875 0.625 0.750
0.500 0.000 0.000
0.125 0.250 0.875
0.875 0.750 0.125
0.375 0.625 0.250
0.250 0.125 0.375
0.625 0.250 0.375
0.875 0.125 0.250
0.750 0.875 0.625
0.625 0.375 0.750
0.250 0.625 0.875
0.750 0.375 0.125
0.125 0.875 0.750
0.375 0.750 0.625
```

---

Density functional theory data (PBE) for Nb2IrBr after structural relaxation.

Summary:
**Electronic total energy**: -29.701 eV per cell
**ΔE to the lowest computed polymorph**: 0.00 eV per formula unit
**Uncorrected formation energy**: 0.97 eV/f.u.
**Total moment**: 0.00 Bohr magnetons per cell

Structure (POSCAR):
```
Nb2IrBr
1.0
0.716 -4.469 0.842
-2.719 -2.250 2.956
-2.985 -3.142 -1.552
Br Ir Nb
1 1 2
direct
0.000 0.000 0.000
0.500 0.500 0.500
0.250 0.250 0.250
0.750 0.750 0.750
```

---

Density functional theory data (PBE) for Ta2SiTc after structural relaxation.

Summary:
**Electronic total energy**: -40.178 eV per cell
**Uncorrected formation energy**: -0.68 eV/f.u.
**Total moment**: 0.00 Bohr magnetons per cell

Structure (POSCAR):
```
Ta2SiTc
1.0
-0.955 -0.091 2.708
2.873 0.033 -0.023
-0.092 8.289 0.246
Si Ta Tc
1 2 1
direct
0.500 0.500 0.739
0.000 0.000 0.981
0.500 0.500 0.261
0.000 0.000 0.519
```

---

Density functional theory data (PBE) for Tc2PbN2 after structural relaxation.

Summary:
**Electronic total energy**: -72.285 eV per cell
**ΔE to the lowest computed polymorph**: 2.91 eV per formula unit
**Uncorrected formation energy**: 4.95 eV/f.u.
**Total moment**: 0.00 Bohr magnetons per cell

Structure (POSCAR):
```
Tc2PbN2
1.0
7.137 0.000 0.000
0.000 7.137 0.000
0.000 0.000 2.767
Tc Pb N
4 2 4
direct
0.122 0.622 0.500
0.378 0.122 0.500
0.878 0.378 0.500
0.622 0.878 0.500
0.000 0.000 0.000
0.500 0.500 0.000
0.615 0.115 0.000
0.385 0.885 0.000
0.115 0.385 0.000
0.885 0.615 0.000
```

---

Density functional theory data (PBE) for Li2BiAu after structural relaxation.

Summary:
**Energy relative to the elements**: -30.0 kJ/mol of atoms
**Electronic total energy**: -12.231 eV per cell
**Total moment**: 0.00 Bohr magnetons per cell

Structure (POSCAR):
```
Li2BiAu
1.0
3.463 0.000 0.000
1.731 2.999 0.000
1.731 1.000 8.134
Li Bi Au
2 1 1
direct
0.071 0.071 0.786
0.262 0.262 0.214
0.500 0.500 0.499
0.666 0.666 0.001
```

---

Density functional theory data (PBE) for Mn3BrCl5 after structural relaxation.

Summary:
**Electronic total energy**: -94.485 eV per cell
**Uncorrected formation energy**: -8.83 eV/f.u.
**Total moment**: 30.00 Bohr magnetons per cell

Structure (POSCAR):
```
Mn3BrCl5
1.0
3.781 0.000 0.000
0.000 8.148 -2.818
0.000 0.253 13.923
Mn Cl Br
6 10 2
direct
0.500 0.500 0.000
0.500 0.164 0.328
0.000 0.672 0.345
0.000 0.000 0.000
0.000 0.328 0.655
0.500 0.836 0.672
0.000 0.305 0.000
0.000 0.640 0.665
0.000 0.975 0.335
0.500 0.266 0.532
0.000 0.695 0.000
0.000 0.360 0.335
0.500 0.734 0.468
0.000 0.025 0.665
0.500 0.936 0.872
0.500 0.064 0.128
0.500 0.397 0.795
0.500 0.603 0.205
```

---

Density functional theory data (PBE) for VNiSeN2 after structural relaxation.

Summary:
**Electronic total energy**: -29.878 eV per cell
**ΔE to the lowest computed polymorph**: 2.76 eV per formula unit
**Uncorrected formation energy**: 5.16 eV/f.u.
**Total moment**: 0.19 Bohr magnetons per cell

Structure (POSCAR):
```
VNiSeN2
1.0
3.703 0.000 0.000
0.000 3.703 0.000
0.000 0.000 4.893
V Se N Ni
1 1 2 1
direct
0.500 0.500 0.500
0.000 0.000 0.500
0.000 0.500 0.000
0.500 0.000 0.000
0.000 0.000 0.000
```

---

Density functional theory data (PBE) for Rb2Zn2Se3 after structural relaxation.

Summary:
**Electronic total energy**: -21.231 eV per cell
**ΔE to the lowest computed polymorph**: 0.09 eV per formula unit
**Uncorrected formation energy**: -6.29 eV/f.u.
**Total moment**: 0.00 Bohr magnetons per cell

Structure (POSCAR):
```
Rb2Zn2Se3
1.0
-1.793 1.861 -3.337
0.614 -7.308 -4.406
-4.713 1.404 5.985
Se Rb Zn
3 2 2
direct
0.193 0.620 0.385
0.000 0.000 0.000
0.807 0.380 0.615
0.565 0.786 0.129
0.435 0.214 0.871
0.808 0.682 0.615
0.192 0.318 0.385
```

---

Density functional theory data (PBE) for Sc3AlFe after structural relaxation.

Summary:
**Energy relative to the elements**: 102.4 kJ/mol of atoms
**Electronic total energy**: -25.891 eV per cell
**ΔE to the lowest computed polymorph**: 5.11 eV per formula unit
**Total moment**: 0.00 Bohr magnetons per cell

Structure (POSCAR):
```
Sc3AlFe
1.0
5.006 0.000 0.000
0.000 5.006 0.000
0.000 0.000 5.006
Sc Fe Al
3 1 1
direct
0.000 0.000 0.500
0.000 0.500 0.000
0.500 0.000 0.000
0.500 0.500 0.500
0.000 0.000 0.000
```

---

Density functional theory data (PBE) for HgPPt2 after structural relaxation.

Summary:
**Energy relative to the elements**: -9.7 kJ/mol of atoms
**Electronic total energy**: -18.195 eV per cell
**ΔE to the lowest computed polymorph**: 0.10 eV per formula unit
**Total moment**: 0.00 Bohr magnetons per cell

Structure (POSCAR):
```
HgPPt2
1.0
4.119 0.000 0.000
0.000 3.848 0.310
0.000 1.501 5.386
Hg P Pt
1 1 2
direct
0.000 0.196 0.485
0.500 0.011 0.852
0.000 0.901 0.073
0.500 0.392 0.090
```

---

Density functional theory data (PBE) for NaPm5S8 after structural relaxation.

Summary:
**Electronic total energy**: -86.001 eV per cell
**Uncorrected formation energy**: -27.91 eV/f.u.
**Total moment**: 0.00 Bohr magnetons per cell

Structure (POSCAR):
```
NaPm5S8
1.0
7.394 0.019 -0.032
-2.484 6.964 0.032
-2.426 -3.512 6.038
Na S Pm
1 8 5
direct
0.250 0.500 0.750
0.487 0.607 0.242
0.758 0.245 0.365
0.973 0.098 0.725
0.120 0.755 0.513
0.626 0.902 0.875
0.275 0.248 0.374
0.125 0.752 0.027
0.635 0.393 0.880
0.500 0.000 0.500
0.875 0.884 0.252
0.009 0.378 0.125
0.369 0.116 0.991
0.748 0.622 0.631
```

---

Density functional theory data (PBE) for CuTeAs2 after structural relaxation.

Summary:
**Electronic total energy**: -31.195 eV per cell
**Uncorrected formation energy**: 0.94 eV/f.u.
**Total moment**: 0.00 Bohr magnetons per cell

Structure (POSCAR):
```
CuTeAs2
1.0
-0.607 -0.167 5.893
1.198 -5.804 -0.041
6.100 -1.792 3.557
Te Cu As
2 2 4
direct
0.000 0.000 0.000
0.750 0.250 0.500
0.500 0.500 0.000
0.250 0.750 0.500
0.192 0.625 0.250
0.375 0.442 0.750
0.558 0.125 0.250
0.875 0.808 0.750
```

---

Density functional theory data (PBE) for Be2GaB after structural relaxation.

Summary:
**Energy relative to the elements**: 79.8 kJ/mol of atoms
**Electronic total energy**: -13.848 eV per cell
**ΔE to the lowest computed polymorph**: 1.44 eV per formula unit
**Total moment**: 0.00 Bohr magnetons per cell

Structure (POSCAR):
```
Be2GaB
1.0
2.695 0.860 2.600
-0.380 3.129 2.198
-0.761 -0.366 3.748
B Be Ga
1 2 1
direct
0.000 0.000 0.000
0.250 0.250 0.250
0.750 0.750 0.750
0.500 0.500 0.500
```

---

Density functional theory data (PBE) for BaPr2TcN4 after structural relaxation.

Summary:
**Electronic total energy**: -123.256 eV per cell
**Uncorrected formation energy**: -6.48 eV/f.u.
**Total moment**: 0.00 Bohr magnetons per cell

Structure (POSCAR):
```
BaPr2TcN4
1.0
3.602 0.000 0.000
-1.801 6.417 0.000
0.000 0.000 12.537
N Tc Pr Ba
8 2 4 2
direct
0.000 0.000 0.500
0.000 0.000 0.000
0.258 0.517 0.381
0.609 0.218 0.250
0.742 0.483 0.619
0.258 0.517 0.119
0.391 0.782 0.750
0.742 0.483 0.881
0.191 0.382 0.250
0.809 0.618 0.750
0.630 0.259 0.041
0.370 0.741 0.541
0.370 0.741 0.959
0.630 0.259 0.459
0.933 0.866 0.250
0.067 0.134 0.750
```

---

Density functional theory data (PBE) for PmSm2Sn after structural relaxation.

Summary:
**Energy relative to the elements**: -31.5 kJ/mol of atoms
**Electronic total energy**: -38.995 eV per cell
**ΔE to the lowest computed polymorph**: 0.48 eV per formula unit
**Total moment**: 0.00 Bohr magnetons per cell

Structure (POSCAR):
```
PmSm2Sn
1.0
3.577 -0.703 0.270
-0.644 6.441 0.657
3.124 1.405 11.675
Sn Sm Pm
2 4 2
direct
0.567 0.874 0.370
0.433 0.126 0.630
0.767 0.215 0.840
0.276 0.322 0.385
0.233 0.785 0.160
0.724 0.678 0.615
0.036 0.283 0.105
0.964 0.717 0.895
```

---

Density functional theory data (PBE) for MgScAu4 after structural relaxation.

Summary:
**Energy relative to the elements**: -35.6 kJ/mol of atoms
**Electronic total energy**: -23.249 eV per cell
**ΔE to the lowest computed polymorph**: 1.57 eV per formula unit
**Total moment**: 0.00 Bohr magnetons per cell

Structure (POSCAR):
```
MgScAu4
1.0
0.000 3.898 3.898
3.898 0.000 3.898
3.898 3.898 0.000
Mg Sc Au
1 1 4
direct
0.750 0.750 0.750
0.000 0.000 0.000
0.375 0.375 0.375
0.375 0.875 0.375
0.875 0.375 0.375
0.375 0.375 0.875
```

---

Density functional theory data (PBE) for Ga3CuRh4 after structural relaxation.

Summary:
**Energy relative to the elements**: -54.5 kJ/mol of atoms
**Electronic total energy**: -47.103 eV per cell
**Total moment**: 0.00 Bohr magnetons per cell

Structure (POSCAR):
```
Ga3CuRh4
1.0
3.023 0.000 0.000
0.000 4.273 0.000
0.000 0.000 8.549
Rh Ga Cu
4 3 1
direct
0.000 0.500 0.743
0.000 0.000 0.000
0.000 0.500 0.257
0.000 0.000 0.500
0.500 0.000 0.759
0.500 0.500 0.500
0.500 0.000 0.241
0.500 0.500 0.000
```

---

Density functional theory data (PBE) for LiTm4S6 after structural relaxation.

Summary:
**Electronic total energy**: -131.336 eV per cell
**Uncorrected formation energy**: -21.10 eV/f.u.
**Total moment**: 0.00 Bohr magnetons per cell

Structure (POSCAR):
```
LiTm4S6
1.0
-1.017 -0.001 -3.699
-1.583 -5.992 2.425
-18.091 6.792 4.971
S Tm Li
12 8 2
direct
0.500 0.000 0.500
0.041 0.081 0.162
0.959 0.919 0.838
0.500 0.000 0.000
0.775 0.550 0.080
0.300 0.601 0.250
0.959 0.919 0.662
0.225 0.450 0.920
0.775 0.550 0.420
0.700 0.399 0.750
0.041 0.081 0.338
0.225 0.450 0.580
0.133 0.265 0.045
0.596 0.193 0.861
0.133 0.265 0.455
0.867 0.735 0.955
0.867 0.735 0.545
0.596 0.193 0.639
0.404 0.807 0.139
0.404 0.807 0.361
0.325 0.650 0.750
0.675 0.350 0.250
```

---

Density functional theory data (PBE) for AcAlIn2Ag after structural relaxation.

Summary:
**Energy relative to the elements**: -30.2 kJ/mol of atoms
**Electronic total energy**: -17.746 eV per cell
**Total moment**: 0.00 Bohr magnetons per cell

Structure (POSCAR):
```
AcAlIn2Ag
1.0
-1.948 -1.345 -4.021
-0.885 -4.198 1.833
-3.829 4.704 2.989
Al Ac Ag In
1 1 1 2
direct
0.750 0.250 0.500
0.000 0.000 0.000
0.250 0.750 0.500
0.620 0.620 0.239
0.380 0.380 0.761
```